1.
Compound: Nd2Ho6Sc
Source: the Alexandria database
Functional: GGA-PBE
Structure: relaxed

Calculated values
- DOS(E_F) (states/eV per cell) = 37.25
- distance to the lowest polymorph of the same formula (meV/atom) = 100
- theoretical density (g/cm³) = 7.5
- DFT formation energy (eV per formula unit) = 1.81

a = 17.6887 Å, b = 9.7888 Å, c = 3.4242 Å
α = 90.00°, β = 101.00°, γ = 90.00°
With the nearest neighbours (Å) after each atom.
Space group C2/m (No. 12)
One atom of each set of equivalent atoms:
1 Nd 0.1675 0.0000 0.1664 x4  2 Nd 3.42, 8 Ho 3.44-3.54
2 Ho 0.0000 0.1984 0.0000 x4  2 Sc 3.41, 6 Ho 3.42-3.52, 2 Nd 3.50
3 Ho 0.1638 0.3163 0.6626 x8  1 Sc 3.36, 7 Ho 3.42-3.69, 3 Nd 3.44-3.54
4 Sc 0.0000 0.5000 0.5000 x2  8 Ho 3.36-3.41, 2 Sc 3.42

=====

2.
Compound: Nd2HoSc4
Source: the Alexandria database
Functional: GGA-PBE
Structure: relaxed

Calculated values
- DOS(E_F) (states/eV per cell) = 21.89
- theoretical density (g/cm³) = 5.1
- DFT formation energy (eV per formula unit) = 1.28

a = 3.6913 Å, b = 21.1960 Å, c = 5.2485 Å
α = 90.00°, β = 90.00°, γ = 90.00°
With the nearest neighbours (Å) after each atom.
Space group Cmmm (No. 65)
One atom of each set of equivalent atoms:
1 Nd 0.0000 0.0744 0.0000 x4  1 Nd 3.15, 4 Sc 3.22-3.51
2 Ho 0.0000 0.5000 0.5000 x2  8 Nd 3.57, 2 Ho 3.69
3 Sc 0.0000 0.1841 0.5000 x4  6 Sc 3.22-3.35, 2 Nd 3.51
4 Sc 0.0000 0.3013 0.0000 x4  2 Sc 2.85

=====

3.
Compound: NdHo3Sc
Source: the Alexandria database
Functional: GGA-PBE
Structure: relaxed

Calculated values
- DOS(E_F) (states/eV per cell) = 18.30
- distance to the lowest polymorph of the same formula (meV/atom) = 0
- theoretical density (g/cm³) = 7.4
- DFT formation energy (eV per formula unit) = 0.15

a = 6.1920 Å, b = 5.5765 Å, c = 9.4322 Å
α = 90.00°, β = 109.04°, γ = 90.00°
With the nearest neighbours (Å) after each atom.
Space group P2_1/m (No. 11)
One atom of each set of equivalent atoms:
1 Nd 0.0688 0.2500 0.2985 x2  10 Ho 3.49-3.67, 2 Sc 3.57-3.61
2 Ho 0.1418 0.7500 0.0950 x2  4 Sc 3.43-3.59, 5 Ho 3.47-3.65, 3 Nd 3.50-3.51
3 Ho 0.2736 0.2500 0.7101 x2  3 Sc 3.43-3.44, 6 Ho 3.48-3.66, 3 Nd 3.49-3.67
4 Ho 0.3366 0.7500 0.5038 x2  7 Ho 3.46-3.66, 4 Nd 3.49-3.58, 1 Sc 3.58
5 Sc 0.4643 0.2500 0.0950 x2  2 Sc 3.42, 8 Ho 3.43-3.59, 2 Nd 3.57-3.61